[1]
{
  "formula": "V2Fe2Mo",
  "functional": "GGA-PBE",
  "state": "optimized geometry",
  "formation_energy_ev_per_atom": 0.041,
  "sg": "No. 127",
  "density_g_cm3": 8.1,
  "energy_ev_per_cell": -91.573,
  "lattice_angstrom": [[6.873, 0.000, 0.000], [0.000, 6.873, 0.000], [0.000, 0.000, 2.688]],
  "species": ["V", "V", "V", "V", "Fe", "Fe", "Fe", "Fe", "Mo", "Mo"],
  "fractional_positions": [[0.152, 0.348, 0.000], [0.348, 0.848, 0.000], [0.652, 0.152, 0.000], [0.848, 0.652, 0.000], [0.147, 0.647, 0.500], [0.353, 0.147, 0.500], [0.647, 0.853, 0.500], [0.853, 0.353, 0.500], [0.000, 0.000, 0.000], [0.500, 0.500, 0.000]]
}

=====

[2]
{
  "formula": "V6Fe5Mo",
  "functional": "GGA-PBE",
  "state": "optimized geometry",
  "formation_energy_ev_per_atom": -0.116,
  "sg": "No. 71",
  "density_g_cm3": 7.6,
  "energy_ev_per_cell": -109.247,
  "lattice_angstrom": [[-2.062, 2.919, 6.161], [2.062, -2.919, 6.161], [2.062, 2.919, -6.161]],
  "species": ["V", "V", "V", "V", "V", "V", "Fe", "Fe", "Fe", "Fe", "Fe", "Mo"],
  "fractional_positions": [[0.078, 0.331, 0.746], [0.244, 0.000, 0.244], [0.415, 0.669, 0.746], [0.585, 0.331, 0.254], [0.756, 0.000, 0.756], [0.922, 0.669, 0.254], [0.000, 0.500, 0.500], [0.168, 0.168, 0.000], [0.330, 0.830, 0.500], [0.670, 0.170, 0.500], [0.832, 0.832, 0.000], [0.500, 0.500, 0.000]]
}